# 1
The following is a DFT calculation (PBE) of a relaxed Ce2InGe3Au4 crystal.

Lattice parameters (Å, degrees): 4.384 4.384 11.331 90.00 90.00 90.00
Atoms (fractional coordinates):
Ce1 0.000 0.500 0.229
Ce2 0.500 0.000 0.771
In1 0.000 0.000 0.500
Ge1 0.000 0.500 0.868
Ge2 0.500 0.000 0.132
Ge3 0.500 0.500 0.500
Au1 0.000 0.000 0.000
Au2 0.000 0.500 0.649
Au3 0.500 0.000 0.351
Au4 0.500 0.500 0.000

Results
- M_tot: 1.65 μB/f.u.
- Energy of formation: -499 meV/atom
- Total energy: -4.656 eV/atom

---

# 2
The following is a DFT calculation (PBE) of a relaxed Ce2Ge3Ir4Au crystal.

Lattice parameters (Å, degrees): 4.102 4.102 11.238 90.00 90.00 90.00
Atoms (fractional coordinates):
Ce1 0.000 0.500 0.245
Ce2 0.500 0.000 0.755
Ge1 0.000 0.000 0.000
Ge2 0.000 0.500 0.622
Ge3 0.500 0.000 0.378
Ir1 0.000 0.000 0.500
Ir2 0.000 0.500 0.836
Ir3 0.500 0.000 0.164
Ir4 0.500 0.500 0.500
Au1 0.500 0.500 0.000

Results
- M_tot: 0.48 μB/f.u.
- Energy of formation: -640 meV/atom
- Total energy: -7.084 eV/atom

---

# 3
The following is a DFT calculation (PBE) of a relaxed Ce2Ge4Ir3Au crystal.

Lattice parameters (Å, degrees): 4.338 4.338 10.120 90.00 90.00 90.00
Atoms (fractional coordinates):
Ce1 0.000 0.500 0.239
Ce2 0.500 0.000 0.761
Ge1 0.000 0.000 0.000
Ge2 0.000 0.500 0.638
Ge3 0.500 0.000 0.362
Ge4 0.500 0.500 0.000
Ir1 0.000 0.500 0.877
Ir2 0.500 0.000 0.123
Ir3 0.500 0.500 0.500
Au1 0.000 0.000 0.500

Results
- M_tot: 1.15 μB/f.u.
- Energy of formation: -672 meV/atom
- Total energy: -6.692 eV/atom

---

# 4
The following is a DFT calculation (PBE) of a relaxed La2Ce2Ge4Au crystal.

Lattice parameters (Å, degrees): 6.756 6.756 6.756 114.42 114.42 99.97
Atoms (fractional coordinates):
La1 0.250 0.750 0.500
La2 0.750 0.250 0.500
Ce1 0.159 0.159 0.000
Ce2 0.841 0.841 0.000
Ge1 0.255 0.255 0.509
Ge2 0.255 0.745 0.000
Ge3 0.745 0.255 0.000
Ge4 0.745 0.745 0.491
Au1 0.500 0.500 0.000

Results
- M_tot: 2.49 μB/f.u.
- Energy of formation: -426 meV/atom
- Total energy: -5.256 eV/atom

---

# 5
The following is a DFT calculation (PBE) of a relaxed LaCeGeAu crystal.

Lattice parameters (Å, degrees): 5.283 5.283 5.283 60.00 60.00 60.00
Atoms (fractional coordinates):
La1 0.000 0.000 0.000
Ce1 0.500 0.500 0.500
Ge1 0.250 0.250 0.250
Au1 0.750 0.750 0.750

Results
- M_tot: 1.93 μB/f.u.
- Energy of formation: -663 meV/atom
- Total energy: -5.352 eV/atom

---

# 6
The following is a DFT calculation (PBE) of a relaxed LiCeGe2Au2 crystal.

Lattice parameters (Å, degrees): 4.430 4.430 6.856 90.00 90.00 120.00
Atoms (fractional coordinates):
Li1 0.000 0.000 0.000
Ce1 0.000 0.000 0.500
Ge1 0.333 0.667 0.238
Ge2 0.667 0.333 0.762
Au1 0.333 0.667 0.814
Au2 0.667 0.333 0.186

Results
- M_tot: 0.41 μB/f.u.
- Energy of formation: -592 meV/atom
- Total energy: -4.531 eV/atom